<a>
A plane-wave DFT calculation with PBE was carried out for an optimized crystal structure of ThNbAl2.

The structure belongs to space group P4/mmm (No. 123); the cell edges are 3.589, 3.589 and 6.555 Å and the angles 90.00°, 90.00° and 90.00°. The distinct sites, in fractional coordinates, are Th at (0.000, 0.000, 0.000), Nb at (0.000, 0.000, 0.500) and Al at (0.500, 0.500, 0.305).

For the volume, the calculation gives 84.4 Å³ per cell. Its density of states at the Fermi level is 4.10 states/eV/f.u. The total magnetic moment is 0.000 μB/atom.

---

<b>
A plane-wave DFT calculation with PBE was carried out for an optimized crystal structure of ThNbAl2.

The structure belongs to space group R-3m (No. 166, hexagonal axes); the cell edges are 3.1462, 3.1462 and 29.9332 Å and the angles 90.00°, 90.00° and 120.00°. The distinct sites, in fractional coordinates, are Th at (0.0000, 0.0000, 0.0000), Nb at (0.0000, 0.0000, 0.5000) and Al at (0.0000, 0.0000, 0.2405).

For the volume, the calculation gives 256.6 Å³ per cell. Its density of states at the Fermi level is 3.12 states/eV/f.u. The total magnetic moment is 0.000 μB/atom.

---

Question: which arrangement is favored energetically? Ranking from most to least stable: <a>, <b>.

---

<a>
A plane-wave DFT calculation with PBE was carried out for an optimized crystal structure of Ti3Nb2Al.

The structure belongs to space group Pmc2_1 (No. 26); the cell edges are 4.580, 9.160 and 4.948 Å and the angles 90.00°, 90.00° and 90.00°. The distinct sites, in fractional coordinates, are Ti at (0.000, 0.061, 0.000), Ti at (0.000, 0.245, 0.435), Ti at (0.500, 0.412, 0.337), Nb at (0.000, 0.415, 0.887), Nb at (0.500, 0.237, 0.837) and Al at (0.500, 0.082, 0.333).

For the volume, the calculation gives 207.6 Å³ per cell. Its density of states at the Fermi level is 6.84 states/eV/f.u. The total magnetic moment is 0.000 μB/atom.

---

<b>
A plane-wave DFT calculation with PBE was carried out for an optimized crystal structure of Ti3Nb2Al.

The structure belongs to space group C2/c (No. 15); the cell edges are 5.592, 14.301 and 5.422 Å and the angles 90.00°, 100.66° and 90.00°. The distinct sites, in fractional coordinates, are Ti at (0.000, 0.157, 0.250), Ti at (0.250, 0.177, 0.763), Nb at (0.246, 0.004, 0.488) and Al at (0.000, 0.348, 0.750).

For the volume, the calculation gives 426.1 Å³ per cell. Its density of states at the Fermi level is 9.03 states/eV/f.u. The total magnetic moment is 0.002 μB/atom.

---

Question: which arrangement is favored energetically? Ranking from most to least stable: <a>, <b>.

---

<a>
A plane-wave DFT calculation with PBE was carried out for an optimized crystal structure of TiNbAl.

The structure belongs to space group Cmcm (No. 63); the cell edges are 3.921, 12.450 and 4.159 Å and the angles 90.00°, 90.00° and 90.00°. The distinct sites, in fractional coordinates, are Ti at (0.000, 0.247, 0.250), Nb at (0.000, 0.082, 0.750) and Al at (0.000, 0.413, 0.750).

For the volume, the calculation gives 203.0 Å³ per cell. Its density of states at the Fermi level is 2.08 states/eV/f.u. The total magnetic moment is 0.000 μB/atom.

---

<b>
A plane-wave DFT calculation with PBE was carried out for an optimized crystal structure of TiNbAl.

The structure belongs to space group P-6m2 (No. 187); the cell edges are 4.5731, 4.5731 and 2.7896 Å and the angles 90.00°, 90.00° and 120.00°. The distinct sites, in fractional coordinates, are Ti at (0.0000, 0.0000, 0.0000), Nb at (0.6667, 0.3333, 0.0000) and Al at (0.3333, 0.6667, 0.5000).

For the volume, the calculation gives 50.5 Å³ per cell. Its density of states at the Fermi level is 2.88 states/eV/f.u. The total magnetic moment is 0.124 μB/atom.

---

Question: which arrangement is favored energetically? Ranking from most to least stable: <a>, <b>.